Entry i
Density functional theory data (PBE) for an optimized crystal structure of K2YCuCl6.

```
20
Lattice="-6.798 0.838 3.390 1.005 -7.287 3.815 4.081 4.287 7.114" Properties=species:S:1:pos:R:3 pbc="T T T"
K 1.827 -5.580 5.358
K 0.134 -0.589 9.339
K -3.540 3.417 8.960
K -1.847 -1.573 4.980
Y -3.399 0.419 1.695
Y 2.543 -1.500 5.464
Cu -1.359 2.562 5.252
Cu 0.502 -3.643 1.907
Cl -1.372 -4.786 4.265
Cl -2.680 -2.591 9.709
Cl -0.341 2.624 10.054
Cl 0.968 0.428 4.610
Cl 0.537 -2.636 6.712
Cl -0.642 -1.377 12.646
Cl -2.249 0.474 7.607
Cl -1.070 -0.785 1.672
Cl -4.716 -2.187 6.645
Cl 1.161 -3.635 10.167
Cl 3.004 0.025 7.674
Cl -2.874 1.473 4.151
```

Entry ii
Density functional theory data (PBE) for an optimized crystal structure of K2YCuCl6.

```
10
Lattice="7.311 0.000 0.000 3.655 6.331 0.000 3.655 2.110 5.969" Properties=species:S:1:pos:R:3 pbc="T T T"
K 3.655 2.110 1.492
K 10.966 6.331 4.477
Y 0.000 0.000 0.000
Cu 7.311 4.221 2.985
Cl 7.311 6.292 4.449
Cl 9.104 5.256 1.520
Cl 7.311 2.150 1.520
Cl 9.104 3.186 4.449
Cl 5.518 5.256 1.520
Cl 5.518 3.186 4.449
```

Stability order, top to bottom: entry i, entry ii

Entry i
Density functional theory data (PBE) for an optimized crystal structure of LaCuCl.

```
3
Lattice="4.769 0.000 0.000 2.385 4.130 0.000 2.385 1.377 3.894" Properties=species:S:1:pos:R:3 pbc="T T T"
Cl 4.769 2.754 1.947
Cu 2.385 1.377 0.974
La 0.000 0.000 0.000
```

Entry ii
Density functional theory data (PBE) for an optimized crystal structure of LaCuCl.

```
3
Lattice="4.742 0.000 0.000 2.371 4.106 0.000 2.371 1.369 3.871" Properties=species:S:1:pos:R:3 pbc="T T T"
Cl 2.371 1.369 0.968
Cu 0.000 0.000 0.000
La 4.742 2.738 1.936
```

Stability order, top to bottom: entry ii, entry i

Entry i
Density functional theory data (PBE) for an optimized crystal structure of LaCuCl.

```
3
Lattice="5.344 0.019 -0.030 2.469 4.739 0.030 -3.777 -2.592 2.752" Properties=species:S:1:pos:R:3 pbc="T T T"
Cl 0.050 0.030 0.000
Cu 2.528 1.539 0.000
La 5.236 3.188 0.000
```

Entry ii
Density functional theory data (PBE) for an optimized crystal structure of LaCuCl.

```
6
Lattice="4.209 -0.017 -0.171 2.088 3.655 -0.171 -0.140 -0.081 10.862" Properties=species:S:1:pos:R:3 pbc="T T T"
La 6.042 3.490 7.085
La 0.116 0.067 3.436
Cu 4.126 2.383 5.225
Cu 2.032 1.174 5.296
Cl 4.266 2.464 1.479
Cl 1.891 1.093 9.042
```

Entry iii
Density functional theory data (PBE) for an optimized crystal structure of LaCuCl.

```
3
Lattice="4.850 0.000 0.000 -2.425 4.200 0.000 0.000 0.000 3.754" Properties=species:S:1:pos:R:3 pbc="T T T"
Cl 0.000 0.000 3.120
Cu 2.425 1.400 1.251
La 0.000 2.800 3.136
```

Entry iv
Density functional theory data (PBE) for an optimized crystal structure of LaCuCl.

```
3
Lattice="-1.286 3.767 5.776 -4.213 4.174 3.748 -1.806 -2.220 2.156" Properties=species:S:1:pos:R:3 pbc="T T T"
Cl -1.944 -1.840 2.432
Cu -2.916 0.835 4.371
La -4.250 4.506 7.033
```

Stability order, top to bottom: entry ii, entry iv, entry iii, entry i

Entry i
Density functional theory data (PBE) for an optimized crystal structure of LaCuCl.

```
6
Lattice="4.196 0.000 0.000 2.098 3.634 0.000 2.098 1.211 10.808" Properties=species:S:1:pos:R:3 pbc="T T T"
La 4.196 2.422 3.381
La 4.196 2.422 7.427
Cl 2.098 1.211 1.631
Cl 6.294 3.634 9.177
Cu 6.294 3.634 5.370
Cu 2.098 1.211 5.438
```

Entry ii
Density functional theory data (PBE) for an optimized crystal structure of LaCuCl.

```
3
Lattice="4.869 0.000 0.000 2.435 4.217 0.000 2.435 1.406 3.976" Properties=species:S:1:pos:R:3 pbc="T T T"
Cl 0.000 0.000 0.000
Cu 4.869 2.811 1.988
La 2.435 1.406 0.994
```

Stability order, top to bottom: entry i, entry ii

Entry i
Density functional theory data (PBE) for an optimized crystal structure of LaCu2Cl.

```
4
Lattice="-1.534 3.312 3.355 -1.159 4.608 -1.416 -4.730 1.488 0.032" Properties=species:S:1:pos:R:3 pbc="T T T"
Cl 0.000 0.000 0.000
Cu -1.856 2.352 0.493
Cu -5.567 7.057 1.479
La -3.711 4.704 0.986
```

Entry ii
Density functional theory data (PBE) for an optimized crystal structure of LaCu2Cl.

```
4
Lattice="5.945 0.009 -0.043 3.275 4.962 0.043 -4.602 -2.499 2.814" Properties=species:S:1:pos:R:3 pbc="T T T"
Cl 1.641 2.474 1.428
Cu 0.001 0.001 0.000
Cu 4.609 2.485 0.000
La 2.976 -0.003 1.385
```

Entry iii
Density functional theory data (PBE) for an optimized crystal structure of LaCu2Cl.

```
8
Lattice="-6.826 3.781 2.524 1.100 -3.045 7.535 -1.402 2.558 5.701" Properties=species:S:1:pos:R:3 pbc="T T T"
Cl -2.863 0.368 5.030
Cl -1.583 -0.060 9.133
Cu -4.393 2.574 3.913
Cu -0.603 -0.743 6.482
Cu -3.185 2.156 8.144
Cu -6.076 2.601 12.982
La 0.000 0.000 0.000
La -5.546 3.353 6.627
```

Entry iv
Density functional theory data (PBE) for an optimized crystal structure of LaCu2Cl.

```
4
Lattice="7.494 0.094 0.058 6.248 4.139 0.058 6.248 1.924 3.664" Properties=species:S:1:pos:R:3 pbc="T T T"
Cl 15.438 4.755 2.919
Cu 18.849 5.805 3.564
Cu 5.313 1.636 1.005
La 10.376 3.196 1.962
```

Stability order, top to bottom: entry iv, entry ii, entry iii, entry i

Entry i
Density functional theory data (PBE) for an optimized crystal structure of LaCu2Cl.

```
4
Lattice="-0.248 -3.757 -1.347 2.570 -1.179 2.815 -3.957 -0.899 3.236" Properties=species:S:1:pos:R:3 pbc="T T T"
Cl -0.694 -1.039 3.026
Cu 0.000 0.000 0.000
Cu 1.161 -2.468 0.734
La -2.103 -2.328 0.944
```

Entry ii
Density functional theory data (PBE) for an optimized crystal structure of LaCu2Cl.

```
4
Lattice="-0.899 -4.551 1.464 3.094 -3.577 -1.138 2.751 -2.029 3.461" Properties=species:S:1:pos:R:3 pbc="T T T"
Cl 2.473 -5.078 1.893
Cu 0.000 0.000 0.000
Cu 3.710 -7.618 2.840
La 1.237 -2.539 0.947
```

Entry iii
Density functional theory data (PBE) for an optimized crystal structure of LaCu2Cl.

```
4
Lattice="3.467 0.000 0.000 0.000 3.468 0.000 0.000 0.000 7.479" Properties=species:S:1:pos:R:3 pbc="T T T"
Cl 1.733 1.734 5.302
Cu 0.000 0.000 0.837
Cu 1.733 1.734 1.482
La 0.000 0.000 3.598
```

Entry iv
Density functional theory data (PBE) for an optimized crystal structure of LaCu2Cl.

```
4
Lattice="3.670 0.000 0.000 0.000 3.599 -0.025 0.000 -0.031 6.856" Properties=species:S:1:pos:R:3 pbc="T T T"
Cl 1.835 3.156 4.801
Cu 0.000 3.124 1.007
Cu 1.835 1.323 1.038
La 0.000 1.347 3.376
```

Stability order, top to bottom: entry iv, entry iii, entry ii, entry i

Entry i
Density functional theory data (PBE) for an optimized crystal structure of La2CuCl.

```
4
Lattice="4.163 0.000 0.000 2.082 3.605 0.000 2.082 1.202 7.466" Properties=species:S:1:pos:R:3 pbc="T T T"
La 2.082 1.202 5.759
La 2.082 1.202 1.691
Cu 6.245 3.605 7.447
Cl 4.163 2.404 3.769
```

Entry ii
Density functional theory data (PBE) for an optimized crystal structure of La2CuCl.

```
4
Lattice="6.093 0.000 0.000 0.000 4.179 -0.004 0.000 0.005 4.179" Properties=species:S:1:pos:R:3 pbc="T T T"
Cl 0.000 1.569 1.568
Cu 3.047 3.659 3.649
La 0.000 3.661 3.656
La 3.047 1.570 1.565
```

Stability order, top to bottom: entry ii, entry i

Entry i
Density functional theory data (PBE) for an optimized crystal structure of La2CuCl.

```
4
Lattice="4.299 -0.008 0.007 2.161 3.717 0.007 2.142 1.230 6.797" Properties=species:S:1:pos:R:3 pbc="T T T"
Cl 2.151 1.235 1.702
Cu 6.452 3.704 5.107
La 2.144 1.231 6.788
La 4.300 2.468 3.414
```

Entry ii
Density functional theory data (PBE) for an optimized crystal structure of La2CuCl.

```
4
Lattice="-1.870 5.986 0.462 -2.799 4.741 -3.039 -3.996 -1.368 1.547" Properties=species:S:1:pos:R:3 pbc="T T T"
Cl -3.851 4.889 -0.718
Cu -6.979 6.801 -0.568
La -8.155 9.504 -1.218
La -2.680 2.203 -0.073
```

Stability order, top to bottom: entry i, entry ii

Entry i
Density functional theory data (PBE) for an optimized crystal structure of La2CuCl.

```
4
Lattice="5.129 0.000 0.000 2.565 4.442 0.000 2.565 1.481 4.188" Properties=species:S:1:pos:R:3 pbc="T T T"
Cl 5.129 2.961 2.094
Cu 7.694 4.442 3.141
La 0.000 0.000 0.000
La 2.565 1.481 1.047
```

Entry ii
Density functional theory data (PBE) for an optimized crystal structure of La2CuCl.

```
4
Lattice="3.490 0.000 0.000 0.000 3.491 0.000 0.000 0.000 8.160" Properties=species:S:1:pos:R:3 pbc="T T T"
Cl 1.745 1.746 2.040
Cu 1.745 1.746 6.120
La 0.000 0.000 8.004
La 0.000 0.000 4.236
```

Stability order, top to bottom: entry ii, entry i

Entry i
Density functional theory data (PBE) for an optimized crystal structure of La2CuCl.

```
4
Lattice="8.082 0.018 0.010 6.292 5.071 -0.010 -7.185 -2.549 2.680" Properties=species:S:1:pos:R:3 pbc="T T T"
Cl 7.861 2.784 0.000
Cu 3.823 2.773 1.335
La 13.595 4.814 0.000
La 3.470 -0.195 1.345
```

Entry ii
Density functional theory data (PBE) for an optimized crystal structure of La2CuCl.

```
4
Lattice="0.000 3.666 3.666 3.666 0.000 3.666 3.666 3.666 0.000" Properties=species:S:1:pos:R:3 pbc="T T T"
Cl 0.000 0.000 0.000
Cu 3.666 3.666 3.666
La 1.833 1.833 1.833
La 5.499 5.499 5.499
```

Entry iii
Density functional theory data (PBE) for an optimized crystal structure of La2CuCl.

```
8
Lattice="-4.021 -3.060 -3.733 3.911 -4.913 -0.185 -3.227 -6.725 3.703" Properties=species:S:1:pos:R:3 pbc="T T T"
Cl -0.055 -3.986 -1.959
Cl 0.314 -7.812 0.779
Cu 0.000 0.000 0.000
Cu -3.652 -6.886 -0.995
La -2.860 -4.230 -1.458
La 1.164 -5.112 0.370
La -2.490 -7.998 1.309
La -2.489 -12.056 -0.653
```

Entry iv
Density functional theory data (PBE) for an optimized crystal structure of La2CuCl.

```
4
Lattice="3.658 0.000 0.000 0.000 3.631 -0.033 0.000 0.051 8.327" Properties=species:S:1:pos:R:3 pbc="T T T"
Cl 1.829 0.921 2.073
Cu 1.829 2.762 6.220
La 0.000 0.957 8.020
La 0.000 0.935 4.454
```

Stability order, top to bottom: entry iv, entry i, entry ii, entry iii